EuPaRhAu: relaxed, PBE-GGA.

Summary:
mass density	12.507	g/cm3
raw total energy	-7.9841	eV/atom
space group	No. 216
V	22.666	Å³ per atom
ΔH_f (0 K)	-0.38	eV/atom

Lattice parameters (Å, degrees): 5.043 5.043 5.043 60.00 60.00 60.00
Element x y z (fractional)
1 Eu 0.000 0.000 0.000
2 Pa 0.500 0.500 0.500
3 Rh 0.750 0.750 0.750
4 Au 0.250 0.250 0.250



SmHo7Tl2: relaxed, PBE-GGA.

Summary:
mass density	7.501	g/cm3
raw total energy	-3.7820	eV/atom
space group	No. 65
V	37.937	Å³ per atom
ΔH_f (0 K)	0.37	eV/atom

Lattice parameters (Å, degrees): 8.939 8.939 5.402 90.00 90.00 118.50
Element x y z (fractional)
1 Sm 0.000 0.000 0.000
2 Ho 0.060 0.303 0.500
3 Ho 0.229 0.771 0.000
4 Ho 0.303 0.060 0.500
5 Ho 0.500 0.500 0.500
6 Ho 0.697 0.940 0.500
7 Ho 0.771 0.229 0.000
8 Ho 0.940 0.697 0.500
9 Tl 0.305 0.695 0.500
10 Tl 0.695 0.305 0.500



Cd4Ag3Pd2: relaxed, PBE-GGA.

Summary:
mass density	9.935	g/cm3
raw total energy	-2.6993	eV/atom
space group	No. 2
V	18.313	Å³ per atom
ΔH_f (0 K)	-0.19	eV/atom

Lattice parameters (Å, degrees): 4.240 4.962 8.896 77.74 89.68 64.87
Element x y z (fractional)
1 Cd 0.006 0.486 0.332
2 Cd 0.334 0.831 0.113
3 Cd 0.666 0.169 0.887
4 Cd 0.994 0.514 0.668
5 Ag 0.000 0.500 0.000
6 Ag 0.333 0.835 0.444
7 Ag 0.667 0.165 0.556
8 Pd 0.333 0.835 0.783
9 Pd 0.667 0.165 0.217



Dy12HoTh5: relaxed, PBE-GGA.

Summary:
mass density	9.524	g/cm3
raw total energy	-5.3396	eV/atom
space group	No. 12
V	31.723	Å³ per atom
ΔH_f (0 K)	0.04	eV/atom

Lattice parameters (Å, degrees): 10.655 10.655 6.166 106.66 106.66 59.81
Element x y z (fractional)
1 Dy 0.002 0.332 0.832
2 Dy 0.163 0.837 0.000
3 Dy 0.168 0.498 0.664
4 Dy 0.332 0.002 0.832
5 Dy 0.335 0.665 0.500
6 Dy 0.498 0.168 0.664
7 Dy 0.502 0.832 0.336
8 Dy 0.665 0.335 0.500
9 Dy 0.668 0.998 0.168
10 Dy 0.832 0.502 0.336
11 Dy 0.837 0.163 0.000
12 Dy 0.998 0.668 0.168
13 Ho 0.500 0.500 0.000
14 Th 0.000 0.000 0.500
15 Th 0.167 0.167 0.331
16 Th 0.333 0.333 0.170
17 Th 0.667 0.667 0.830
18 Th 0.833 0.833 0.669



Which of these has the lowest mass density?
SmHo7Tl2